Crystalline TbNdErTl at its relaxed geometry. Source: Alexandria via LeMat-Bulk, functional PBE.

Cell: 5.523 5.523 5.523 Å, 60.00 60.00 60.00°
Site moments in Bohr magnetons follow the coordinates.
Element x y z (fractional)
Nd  0.750  0.750  0.750  0.20
Tl  0.000  0.000  0.000  0.00
Tb  0.250  0.250  0.250  0.28
Er  0.500  0.500  0.500  0.36

Calculated values
**Volume**: 119 Å³ per cell
**E_tot**: -16.542 eV/cell
**Distance to the lowest polymorph of the same formula**: 31.7 kJ/mol of formula units
**Total moment**: 1.24 μB per cell
**Formation energy**: -54 meV/atom